(1)
Entry from Alexandria: a PBEsol-optimized structure of ScCdFe2 (SCAN).

Unit cell a=3.1118 b=3.3263 c=5.8372 alpha=90.00 beta=90.00 gamma=90.00
With the nearest neighbours (Å) after each atom.
Sites, in units of the cell vectors:
1 Sc 0.5000 0.5000 0.0000  8 Fe 2.67, 2 Cd 2.92
2 Fe 0.0000 0.0000 0.7607  4 Sc 2.67, 4 Cd 2.74, 1 Fe 2.79
3 Fe 0.0000 0.0000 0.2393  4 Sc 2.67, 4 Cd 2.74, 1 Fe 2.79
4 Cd 0.5000 0.5000 0.5000  8 Fe 2.74, 2 Sc 2.92

Results
The final energy is -80.026 eV/cell. The calculation puts the density of states at the Fermi level at 3.0 states/eV/f.u. The value obtained for the magnetization is 4.433 μB per formula unit. Its energy relative to the elements is 0.22 eV per atom.


(2)
Entry from Alexandria: a PBEsol-optimized structure of AlCoTe2F (SCAN).

Unit cell a=3.5281 b=5.4993 c=5.4993 alpha=90.00 beta=90.00 gamma=90.00
With the nearest neighbours (Å) after each atom.
Sites, in units of the cell vectors:
1 Al 0.5000 0.5000 0.5000  8 Te 3.27, 2 Al 3.53
2 Te 0.0000 0.0000 0.5000  2 F 2.75
3 Te 0.0000 0.5000 0.0000  2 F 2.75
4 Co 0.5000 0.0000 0.0000  2 F 1.76
5 F 0.0000 0.0000 0.0000  2 Co 1.76

Results
The final energy is -102.553 eV/cell. Its uncorrected formation energy is 109 meV/atom. The calculation puts the density of states at the Fermi level at 4.7 states/eV/f.u. The value obtained for the magnetization is 1.644 μB per formula unit.


(3)
Entry from Alexandria: a PBEsol-optimized structure of Cs2HRu (SCAN).

Unit cell a=5.9090 b=5.9090 c=8.2203 alpha=111.06 beta=111.06 gamma=90.00
With the nearest neighbours (Å) after each atom.
Sites, in units of the cell vectors:
1 Cs 0.1250 0.1032 0.7500  2 Ru 2.67, 2 H 2.81
2 Cs 0.3532 0.8750 0.2500  2 Ru 2.67, 2 H 2.81
3 Cs 0.8968 0.3750 0.2500  2 Ru 2.67, 2 H 2.81
4 Cs 0.6250 0.6468 0.7500  2 Ru 2.67, 2 H 2.81
5 Ru 0.2500 0.7500 0.5000  4 Cs 2.67
6 Ru 0.0000 0.0000 0.0000  4 Cs 2.67
7 H 0.5000 0.5000 0.0000  4 Cs 2.81
8 H 0.7500 0.2500 0.5000  4 Cs 2.81

Results
The final energy is -217.308 eV/cell. The calculation puts the density of states at the Fermi level at 2.3 states/eV/f.u. The value obtained for the magnetization is 1.000 μB per formula unit.


(4)
Entry from Alexandria: a PBEsol-optimized structure of Tl3PdS (SCAN).

Unit cell a=5.1781 b=5.1781 c=5.1781 alpha=90.00 beta=90.00 gamma=90.00
With the nearest neighbours (Å) after each atom.
Sites, in units of the cell vectors:
1 Tl 0.0000 0.0000 0.5000  2 Pd 2.59
2 Tl 0.5000 0.0000 0.0000  2 Pd 2.59
3 Tl 0.0000 0.5000 0.0000  2 Pd 2.59
4 Pd 0.0000 0.0000 0.0000  6 Tl 2.59
5 S 0.5000 0.5000 0.5000  12 Tl 3.66

Results
The final energy is -259.789 eV/cell. Its uncorrected formation energy is -62 meV/atom. The calculation puts the density of states at the Fermi level at 1.4 states/eV/f.u. The value obtained for the magnetization is 0.000 μB per formula unit. The calculation puts the distance to the lowest polymorph of the same formula at 0.000 eV per atom.


(5)
Entry from Alexandria: a PBEsol-optimized structure of CoH24C2S2N6O14 (SCAN).

Unit cell a=7.4789 b=10.1002 c=11.9323 alpha=96.70 beta=90.00 gamma=90.00
With the nearest neighbours (Å) after each atom.
Sites, in units of the cell vectors:
1 H 0.2699 0.8739 0.2221  1 N 1.03
2 H 0.1651 0.1577 0.1231  1 N 1.03
3 H 0.3349 0.1577 0.6231  1 N 1.03
4 H 0.6358 0.2614 0.4905  1 O 1.00
5 H 0.0438 0.7308 0.1297  1 O 1.00
6 H 0.8349 0.8423 0.8769  1 N 1.03
7 H 0.1638 0.5688 0.8200  1 O 0.99
8 H 0.3362 0.5688 0.3200  1 O 0.99
9 H 0.6638 0.4312 0.6800  1 O 0.99
10 H 0.8642 0.2614 0.9905  1 O 1.00
11 H 0.1847 0.1516 0.7935  1 N 1.03
12 H 0.3390 0.5113 0.9553  1 O 0.99
13 H 0.3160 0.1659 0.9180  1 N 1.03
14 H 0.8153 0.8484 0.2065  1 N 1.03
15 H 0.6219 0.1294 0.9085  1 N 1.03
16 H 0.8390 0.4887 0.5447  1 O 0.99
17 H 0.9353 0.1266 0.1159  1 N 1.03
18 H 0.4353 0.8734 0.3841  1 N 1.03
19 H 0.6840 0.8341 0.0820  1 N 1.03
20 H 0.1840 0.1659 0.4180  1 N 1.03
21 H 0.5647 0.1266 0.6159  1 N 1.03
22 H 0.9562 0.2692 0.8703  1 O 1.00
23 H 0.4904 0.5096 0.7317  1 O 1.00
24 H 0.6847 0.8484 0.7065  1 N 1.03
25 H 0.8362 0.4312 0.1800  1 O 0.99
26 H 0.7699 0.1261 0.2779  1 N 1.03
27 H 0.9904 0.4904 0.7683  1 O 1.00
28 H 0.4562 0.7308 0.6297  1 O 1.00
29 H 0.1879 0.3895 0.5334  1 O 1.00
30 H 0.0647 0.8734 0.8841  1 N 1.03
31 H 0.6651 0.8423 0.3769  1 N 1.03
32 H 0.1610 0.5113 0.4553  1 O 0.99
33 H 0.3153 0.1516 0.2935  1 N 1.03
34 H 0.1219 0.8706 0.5915  1 N 1.03
35 H 0.3781 0.8706 0.0915  1 N 1.03
36 H 0.7301 0.1261 0.7779  1 N 1.03
37 H 0.8160 0.8341 0.5820  1 N 1.03
38 H 0.6610 0.4887 0.0447  1 O 0.99
39 H 0.6879 0.6105 0.9666  1 O 1.00
40 H 0.3121 0.3895 0.0334  1 O 1.00
41 H 0.5438 0.2692 0.3703  1 O 1.00
42 H 0.3642 0.7386 0.5095  1 O 1.00
43 H 0.5096 0.4904 0.2683  1 O 1.00
44 H 0.1358 0.7386 0.0095  1 O 1.00
45 H 0.8781 0.1294 0.4085  1 N 1.03
46 H 0.8121 0.6105 0.4666  1 O 1.00
47 H 0.2301 0.8739 0.7221  1 N 1.03
48 H 0.0096 0.5096 0.2317  1 O 1.00
49 C 0.5445 0.8708 0.2289  3 N 1.33-1.34
50 C 0.0445 0.1292 0.2711  3 N 1.33-1.34
51 C 0.4555 0.1292 0.7711  3 N 1.33-1.34
52 C 0.9555 0.8708 0.7289  3 N 1.33-1.34
53 O 0.5416 0.1893 0.2361  1 S 1.48
54 O 0.1989 0.8185 0.4425  1 S 1.49
55 O 0.0416 0.8107 0.2639  1 S 1.48
56 O 0.6170 0.7588 0.9314  1 S 1.49
57 O 0.3936 0.6049 0.8436  1 S 1.50
58 O 0.7672 0.5218 0.4838  2 H 0.99-1.00
59 O 0.3011 0.8185 0.9425  1 S 1.49
60 O 0.4640 0.5507 0.3342  2 H 0.99-1.00
61 O 0.1064 0.6049 0.3436  1 S 1.50
62 O 0.2672 0.4782 0.0162  2 H 0.99-1.00
63 O 0.8936 0.3951 0.6564  1 S 1.50
64 O 0.1170 0.2412 0.5686  1 S 1.49
65 O 0.3830 0.2412 0.0686  1 S 1.49
66 O 0.9698 0.2970 0.9527  2 H 1.00
67 O 0.7328 0.5218 0.9838  2 H 0.99-1.00
68 O 0.8830 0.7588 0.4314  1 S 1.49
69 O 0.6064 0.3951 0.1564  1 S 1.50
70 O 0.5302 0.2970 0.4527  2 H 1.00
71 O 0.4698 0.7030 0.5473  2 H 1.00
72 O 0.5360 0.4493 0.6658  2 H 0.99-1.00
73 O 0.4584 0.8107 0.7639  1 S 1.48
74 O 0.2328 0.4782 0.5162  2 H 0.99-1.00
75 O 0.6989 0.1815 0.0575  1 S 1.49
76 O 0.0360 0.5507 0.8342  2 H 0.99-1.00
77 O 0.8011 0.1815 0.5575  1 S 1.49
78 O 0.0302 0.7030 0.0473  2 H 1.00
79 O 0.9584 0.1893 0.7361  1 S 1.48
80 O 0.9640 0.4493 0.1658  2 H 0.99-1.00
81 N 0.1129 0.8800 0.6781  2 H 1.03
82 N 0.6129 0.1200 0.8219  2 H 1.03
83 N 0.9464 0.8804 0.8418  2 H 1.03
84 N 0.3871 0.8800 0.1781  2 H 1.03
85 N 0.8871 0.1200 0.3219  2 H 1.03
86 N 0.1939 0.1425 0.3323  2 H 1.03
87 N 0.3061 0.1425 0.8323  2 H 1.03
88 N 0.0536 0.1196 0.1582  2 H 1.03
89 N 0.6939 0.8575 0.1677  2 H 1.03
90 N 0.4464 0.1196 0.6582  2 H 1.03
91 N 0.8061 0.8575 0.6677  2 H 1.03
92 N 0.5536 0.8804 0.3418  2 H 1.03
93 S 0.9430 0.2509 0.6294  4 O 1.48-1.50
94 S 0.4430 0.7491 0.8706  4 O 1.48-1.50
95 S 0.5570 0.2509 0.1294  4 O 1.48-1.50
96 S 0.0570 0.7491 0.3706  4 O 1.48-1.50
97 Co 0.5000 0.5000 0.5000  6 O 2.02-2.12
98 Co 0.0000 0.5000 0.0000  6 O 2.02-2.12

Results
The final energy is -655.027 eV/cell. The calculation puts the density of states at the Fermi level at 0.0 states/eV/f.u. The value obtained for the magnetization is 3.000 μB per formula unit.


(6)
Entry from Alexandria: a PBEsol-optimized structure of Mg2NiW (SCAN).

Unit cell a=2.7978 b=2.7978 c=9.2170 alpha=81.27 beta=81.27 gamma=60.00
With the nearest neighbours (Å) after each atom.
Sites, in units of the cell vectors:
1 Mg 0.7576 0.7576 0.7271  3 Ni 2.62, 6 Mg 2.80
2 Mg 0.2424 0.2424 0.2729  3 Ni 2.62, 6 Mg 2.80
3 Ni 0.5000 0.5000 0.5000  6 Mg 2.62, 6 Ni 2.80
4 W 0.0000 0.0000 0.0000  6 W 2.80, 6 Mg 2.96

Results
The final energy is -94.427 eV/cell. The calculation puts the density of states at the Fermi level at 3.8 states/eV/f.u. The value obtained for the magnetization is 0.006 μB per formula unit. The calculation puts the distance to the lowest polymorph of the same formula at 0.000 eV per atom. Its energy relative to the elements is 0.35 eV per atom.


Repeat the second record exactly.
Entry from Alexandria: a PBEsol-optimized structure of AlCoTe2F (SCAN).

Unit cell a=3.5281 b=5.4993 c=5.4993 alpha=90.00 beta=90.00 gamma=90.00
With the nearest neighbours (Å) after each atom.
Sites, in units of the cell vectors:
1 Al 0.5000 0.5000 0.5000  8 Te 3.27, 2 Al 3.53
2 Te 0.0000 0.0000 0.5000  2 F 2.75
3 Te 0.0000 0.5000 0.0000  2 F 2.75
4 Co 0.5000 0.0000 0.0000  2 F 1.76
5 F 0.0000 0.0000 0.0000  2 Co 1.76

Results
The final energy is -102.553 eV/cell. Its uncorrected formation energy is 109 meV/atom. The calculation puts the density of states at the Fermi level at 4.7 states/eV/f.u. The value obtained for the magnetization is 1.644 μB per formula unit.